Entry 1:
This record from Alexandria describes a relaxed structure of NpZnSi2Pt2. The functional is PBE.

Values from the calculation:
formation energy from raw total energies: -543 meV/atom

Cell lengths 4.1769, 4.1769, 6.8329 Å; angles 90.00, 90.00, 120.00 degrees
Each line ends with the local moment (μB).
Fractional coordinates of all 6 atoms:
Si 0.3333 0.6667 0.7343  -0.01
Zn 0.0000 0.0000 0.5000  0.00
Pt 0.6667 0.3333 0.6738  0.00
Si 0.6667 0.3333 0.2657  -0.01
Pt 0.3333 0.6667 0.3262  0.00
Np 0.0000 0.0000 0.0000  3.69

Entry 2:
This record from Alexandria describes a relaxed structure of ScAl3Pd4. The functional is PBE.

Values from the calculation:
energy of formation: -897.9 meV/atom

Cell lengths 4.4322, 4.4322, 7.6994 Å; angles 73.27, 73.27, 60.00 degrees
Fractional coordinates of all 8 atoms:
Pd 0.8715 0.8715 0.3854
Al 0.7499 0.7499 0.7504
Sc 0.0000 0.0000 0.0000
Pd 0.1285 0.1285 0.6146
Al 0.5000 0.5000 0.5000
Al 0.2501 0.2501 0.2496
Pd 0.6190 0.6190 0.1429
Pd 0.3810 0.3810 0.8571

Entry 3:
This record from Alexandria describes a relaxed structure of Rb2BeCuAs2. The functional is PBE.

Values from the calculation:
energy of formation: -232.1 meV/atom

Cell lengths 5.8250, 5.7375, 11.6244 Å; angles 104.29, 104.51, 90.00 degrees
Fractional coordinates of all 12 atoms:
As 0.2081 0.9400 0.8800
Be 0.5000 0.7500 0.0000
Cu 0.0000 0.2500 0.0000
Rb 0.9016 0.6412 0.2824
As 0.7919 0.0600 0.1200
Cu 0.0000 0.7500 0.0000
As 0.3281 0.5600 0.1200
As 0.6719 0.4400 0.8800
Rb 0.0984 0.3588 0.7176
Rb 0.3808 0.1412 0.2824
Be 0.5000 0.2500 0.0000
Rb 0.6192 0.8588 0.7176

Entry 4:
This record from Alexandria describes a relaxed structure of Pm12SmTm5. The functional is PBE.

Values from the calculation:
energy of formation: 62.0 meV/atom

Cell lengths 12.1259, 10.4546, 5.7105 Å; angles 90.00, 90.00, 55.07 degrees
Fractional coordinates of all 18 atoms:
Pm 0.9464 0.3867 0.0001
Pm 0.4467 0.3855 0.5006
Tm 0.8864 0.2747 0.5001
Sm 0.0000 0.0000 0.0000
Pm 0.5533 0.6145 0.4994
Pm 0.6681 0.3370 0.9999
Pm 0.8315 0.6642 0.4999
Pm 0.3319 0.6630 0.0001
Pm 0.0537 0.6133 0.9999
Pm 0.2795 0.0490 0.0009
Pm 0.1685 0.3358 0.5001
Pm 0.7749 0.0508 0.4990
Tm 0.3870 0.2726 0.0006
Tm 0.5000 0.0000 0.5000
Pm 0.2251 0.9492 0.5010
Tm 0.6130 0.7274 0.9994
Tm 0.1136 0.7253 0.4999
Pm 0.7205 0.9510 0.9991

Entry 5:
This record from Alexandria describes a relaxed structure of Hf2Co. The functional is PBE.

Values from the calculation:
energy of formation: -292.8 meV/atom

Cell lengths 8.4982, 8.4982, 8.4982 Å; angles 60.00, 60.00, 60.00 degrees
Fractional coordinates of all 24 atoms:
Hf 0.1250 0.6250 0.6250
Co 0.7920 0.4027 0.4027
Hf 0.8123 0.1877 0.1877
Hf 0.0623 0.4377 0.4377
Hf 0.4377 0.4377 0.0623
Hf 0.6250 0.6250 0.6250
Hf 0.8123 0.1877 0.8123
Co 0.4027 0.7920 0.4027
Co 0.8473 0.8473 0.4580
Co 0.4027 0.4027 0.7920
Hf 0.4377 0.0623 0.4377
Hf 0.1877 0.1877 0.8123
Hf 0.4377 0.0623 0.0623
Hf 0.6250 0.1250 0.6250
Hf 0.8123 0.8123 0.1877
Co 0.8473 0.8473 0.8473
Co 0.4027 0.4027 0.4027
Hf 0.1877 0.8123 0.8123
Co 0.4580 0.8473 0.8473
Co 0.8473 0.4580 0.8473
Hf 0.0623 0.4377 0.0623
Hf 0.0623 0.0623 0.4377
Hf 0.1877 0.8123 0.1877
Hf 0.6250 0.6250 0.1250

Entry 6:
This record from Alexandria describes a relaxed structure of Ac6TbNd5. The functional is PBE.

Values from the calculation:
energy of formation: 28.3 meV/atom

Cell lengths 5.4909, 10.5341, 10.1182 Å; angles 121.37, 105.71, 90.00 degrees
Fractional coordinates of all 12 atoms:
Nd 0.6663 0.1663 0.3327
Tb 0.0000 0.0000 0.0000
Ac 0.8340 0.5851 0.6680
Nd 0.6665 0.6665 0.3330
Ac 0.5000 0.7517 0.0000
Nd 0.3337 0.8337 0.6673
Ac 0.5000 0.2483 0.0000
Ac 0.1660 0.4149 0.3320
Ac 0.1660 0.9171 0.3320
Nd 0.0000 0.5000 0.0000
Ac 0.8340 0.0829 0.6680
Nd 0.3335 0.3335 0.6670

Entry 7:
This record from Alexandria describes a relaxed structure of H8Ir2PtPb. The functional is PBE.

Values from the calculation:
total energy: -4.39 eV per atom

Cell lengths 4.9604, 4.9604, 6.1770 Å; angles 66.33, 66.33, 60.00 degrees
Fractional coordinates of all 12 atoms:
H 0.0679 0.6261 0.2344
Ir 0.7145 0.7145 0.8565
Pb 0.5000 0.5000 0.5000
H 0.1891 0.1891 0.4326
H 0.3739 0.9285 0.7656
Pt 0.0000 0.0000 0.0000
H 0.9321 0.3739 0.7656
H 0.0715 0.0679 0.2344
H 0.8109 0.8109 0.5674
Ir 0.2855 0.2855 0.1435
H 0.9285 0.9321 0.7656
H 0.6261 0.0715 0.2344

Entry 8:
This record from Alexandria describes a relaxed structure of Tb3PmIn4. The functional is PBE.

Values from the calculation:
energy of formation: -316.2 meV/atom

Cell lengths 3.4673, 7.1698, 10.2393 Å; angles 110.48, 99.75, 90.00 degrees
Each line ends with the local moment (μB).
Fractional coordinates of all 8 atoms:
In 0.3723 0.5823 0.7445  0.00
Pm 0.5000 0.0000 0.0000  0.08
In 0.3723 0.1624 0.7445  0.00
Tb 0.0000 0.5000 0.0000  0.00
Tb 0.2197 0.2196 0.4394  0.00
Tb 0.7803 0.7804 0.5606  0.00
In 0.6277 0.4177 0.2555  0.00
In 0.6277 0.8376 0.2555  0.00

Entry 9:
This record from Alexandria describes a relaxed structure of Dy2Er5Fe2. The functional is PBE.

Values from the calculation:
energy of formation: 36.3 meV/atom

Cell lengths 6.9684, 6.9229, 10.4270 Å; angles 90.00, 70.48, 90.00 degrees
Each line ends with the local moment (μB).
Fractional coordinates of all 18 atoms:
Er 0.4255 0.1791 0.7854  -0.15
Dy 0.2332 0.0000 0.5336  -0.03
Dy 0.2668 0.5000 0.4664  -0.03
Er 0.2109 0.1791 0.2146  -0.15
Fe 0.6105 0.1062 0.0000  1.14
Er 0.0000 0.0000 0.0000  -0.15
Fe 0.3895 0.8938 0.0000  1.14
Er 0.7109 0.3209 0.2146  -0.15
Er 0.0745 0.6791 0.2146  -0.15
Er 0.7891 0.8209 0.7854  -0.15
Er 0.2891 0.6791 0.7854  -0.15
Fe 0.1105 0.3938 0.0000  1.14
Er 0.9255 0.3209 0.7854  -0.15
Fe 0.8895 0.6062 0.0000  1.14
Er 0.5745 0.8209 0.2146  -0.15
Dy 0.7668 0.0000 0.4664  -0.03
Er 0.5000 0.5000 0.0000  -0.15
Dy 0.7332 0.5000 0.5336  -0.03

Entry 10:
This record from Alexandria describes a relaxed structure of Sc3Ge2H. The functional is PBE.

Values from the calculation:
total energy: -5.79 eV per atom

Cell lengths 5.4156, 7.4515, 6.5510 Å; angles 106.23, 114.42, 90.00 degrees
Fractional coordinates of all 12 atoms:
Sc 0.8456 0.9159 0.6764
Ge 0.6747 0.5813 0.3325
Ge 0.3421 0.9187 0.6675
Ge 0.3253 0.4187 0.6675
Sc 0.1692 0.5841 0.3236
Sc 0.1544 0.0841 0.3236
Sc 0.8308 0.4159 0.6764
H 0.9553 0.7500 0.0000
Ge 0.6579 0.0813 0.3325
Sc 0.5396 0.7500 0.0000
H 0.0447 0.2500 0.0000
Sc 0.4604 0.2500 0.0000

Entry 11:
This record from Alexandria describes a relaxed structure of ScAg2Ge. The functional is PBE.

Values from the calculation:
energy of formation: 227.4 meV/atom

Cell lengths 2.9656, 2.9656, 10.6178 Å; angles 81.97, 81.97, 60.00 degrees
Fractional coordinates of all 4 atoms:
Ag 0.0891 0.0891 0.7328
Sc 0.0000 0.0000 0.0000
Ag 0.9109 0.9109 0.2672
Ge 0.5000 0.5000 0.5000

Entry 12:
This record from Alexandria describes a relaxed structure of K2SrFe. The functional is PBE.

Values from the calculation:
energy of formation: 722.6 meV/atom

Cell lengths 7.9855, 7.9855, 7.9855 Å; angles 150.62, 130.50, 58.61 degrees
Each line ends with the local moment (μB).
Fractional coordinates of all 4 atoms:
Fe 0.2616 0.7616 0.5000  2.99
K 0.0615 0.0615 0.0000  -0.01
K 0.7462 0.2462 0.5000  -0.01
Sr 0.4308 0.4308 0.0000  -0.07

Entry 13:
This record from Alexandria describes a relaxed structure of Ce8Bi5Au. The functional is PBE.

Values from the calculation:
energy of formation: -623.1 meV/atom

Cell lengths 8.2874, 8.2874, 8.2874 Å; angles 109.74, 108.93, 109.74 degrees
Each line ends with the local moment (μB).
Fractional coordinates of all 14 atoms:
Bi 0.8801 0.8703 0.2444  -0.05
Ce 0.6177 0.3996 0.8694  1.03
Ce 0.4698 0.6004 0.2181  1.03
Ce 0.9877 0.1186 0.7195  1.02
Ce 0.7819 0.2517 0.3823  1.03
Bi 0.9902 0.3643 0.1199  -0.05
Bi 0.7556 0.6357 0.6259  -0.05
Ce 0.6008 0.8814 0.8690  1.02
Ce 0.1310 0.7318 0.0123  1.02
Ce 0.1306 0.7483 0.5302  1.03
Bi 0.3741 0.1297 0.0098  -0.05
Bi 0.5000 0.0000 0.5000  -0.05
Ce 0.2805 0.2682 0.3992  1.02
Au 0.2500 0.5000 0.7500  0.02

Entry 14:
This record from Alexandria describes a relaxed structure of Ac2Nd12Er5. The functional is PBE.

Values from the calculation:
energy of formation: 116.4 meV/atom

Cell lengths 11.7508, 8.8763, 9.6020 Å; angles 70.06, 90.00, 131.45 degrees
Fractional coordinates of all 19 atoms:
Nd 0.9466 0.3781 0.2009
Nd 0.5685 0.6219 0.7991
Nd 0.8263 0.2210 0.5744
Ac 0.2664 0.0000 0.0000
Ac 0.7336 0.0000 0.0000
Nd 0.0534 0.6219 0.7991
Er 0.1893 0.3787 0.6684
Nd 0.3947 0.2210 0.5744
Er 0.6948 0.3895 0.7558
Er 0.3052 0.6105 0.2442
Er 0.8107 0.6213 0.3316
Nd 0.4315 0.3781 0.2009
Er 0.0000 0.0000 0.5000
Nd 0.8736 0.7472 0.9420
Nd 0.1264 0.2528 0.0580
Nd 0.1737 0.7790 0.4256
Nd 0.5772 0.1545 0.2231
Nd 0.6053 0.7790 0.4256
Nd 0.4228 0.8455 0.7769

Entry 15:
This record from Alexandria describes a relaxed structure of ZrCo2As. The functional is PBE.

Values from the calculation:
energy of formation: -253.3 meV/atom

Cell lengths 3.8072, 3.1967, 5.0978 Å; angles 90.08, 90.00, 90.00 degrees
Each line ends with the local moment (μB).
Fractional coordinates of all 4 atoms:
As 0.5000 0.7500 0.7500  0.00
Co 0.0000 0.7495 0.0072  0.40
Co 0.0000 0.7505 0.4928  0.40
Zr 0.5000 0.2500 0.2500  -0.08

Entry 16:
This record from Alexandria describes a relaxed structure of LiTm2Ga. The functional is PBE.

Values from the calculation:
energy of formation: -308.0 meV/atom

Cell lengths 5.0205, 5.0205, 5.0205 Å; angles 60.00, 60.00, 60.00 degrees
Fractional coordinates of all 4 atoms:
Tm 0.5000 0.5000 0.5000
Li 0.7500 0.7500 0.7500
Tm 0.0000 0.0000 0.0000
Ga 0.2500 0.2500 0.2500

Entry 17:
This record from Alexandria describes a relaxed structure of Pm3Sm7. The functional is PBE.

Values from the calculation:
energy of formation: 174.8 meV/atom

Cell lengths 6.4406, 11.0717, 11.0717 Å; angles 120.00, 90.00, 90.00 degrees
Fractional coordinates of all 20 atoms:
Sm 0.2313 0.4709 0.9418
Pm 0.3620 0.4205 0.2102
Sm 0.3796 0.1173 0.8827
Pm 0.8620 0.2102 0.7898
Pm 0.3620 0.7898 0.5795
Sm 0.2313 0.4709 0.5291
Sm 0.8796 0.8827 0.7653
Pm 0.8620 0.2102 0.4205
Sm 0.3796 0.1173 0.2347
Sm 0.8796 0.8827 0.1173
Sm 0.4892 0.3333 0.6667
Sm 0.3796 0.7654 0.8827
Sm 0.8796 0.2346 0.1173
Sm 0.7313 0.5291 0.4709
Sm 0.7313 0.9418 0.4709
Sm 0.7313 0.5291 0.0582
Sm 0.2313 0.0582 0.5291
Pm 0.8620 0.5795 0.7898
Sm 0.9892 0.6667 0.3333
Pm 0.3620 0.7898 0.2102

Entry 18:
This record from Alexandria describes a relaxed structure of Ba2ReAs. The functional is PBE.

Values from the calculation:
energy of formation: 198.7 meV/atom

Cell lengths 11.9684, 11.9684, 8.7928 Å; angles 47.11, 47.11, 90.00 degrees
Each line ends with the local moment (μB).
Fractional coordinates of all 8 atoms:
Ba 0.8750 0.0662 0.7500  -0.02
Re 0.0000 0.0000 0.0000  0.14
Ba 0.8162 0.1250 0.2500  -0.01
As 0.2500 0.7500 0.5000  0.00
As 0.5000 0.5000 0.0000  0.00
Ba 0.3750 0.1838 0.7500  -0.01
Re 0.7500 0.2500 0.5000  0.14
Ba 0.9338 0.6250 0.2500  -0.01

Entry 19:
This record from Alexandria describes a relaxed structure of LiNdHoEr. The functional is PBE.

Values from the calculation:
energy of formation: 166.0 meV/atom

Cell lengths 5.5093, 5.5093, 5.5093 Å; angles 60.00, 60.00, 60.00 degrees
Fractional coordinates of all 4 atoms:
Er 0.5000 0.5000 0.5000
Li 0.0000 0.0000 0.0000
Nd 0.2500 0.2500 0.2500
Ho 0.7500 0.7500 0.7500

Entry 20:
This record from Alexandria describes a relaxed structure of ZnTcHg4. The functional is PBE.

Values from the calculation:
energy of formation: 819.7 meV/atom

Cell lengths 5.7978, 5.7978, 5.7978 Å; angles 60.00, 60.00, 60.00 degrees
Each line ends with the local moment (μB).
Fractional coordinates of all 6 atoms:
Tc 0.7500 0.7500 0.7500  2.97
Hg 0.3753 0.3753 0.3753  -0.01
Hg 0.3753 0.3753 0.8741  -0.01
Zn 0.0000 0.0000 0.0000  0.02
Hg 0.3753 0.8741 0.3753  -0.01
Hg 0.8741 0.3753 0.3753  -0.01

Entry 21:
This record from Alexandria describes a relaxed structure of Tm4Te3P. The functional is PBE.

Values from the calculation:
formation energy from raw total energies: -1347 meV/atom

Cell lengths 4.1520, 7.3673, 7.3673 Å; angles 108.75, 90.00, 90.00 degrees
Fractional coordinates of all 8 atoms:
Tm 0.5000 0.7741 0.2259
Te 0.5000 0.5000 0.5000
Te 0.0000 0.5000 0.0000
P 0.5000 0.0000 0.0000
Tm 0.0000 0.7874 0.7874
Tm 0.0000 0.2126 0.2126
Tm 0.5000 0.2259 0.7741
Te 0.0000 0.0000 0.5000

Entry 22:
This record from Alexandria describes a relaxed structure of HfTh2H. The functional is PBE.

Values from the calculation:
total energy: -6.86 eV per atom

Cell lengths 3.3089, 3.3089, 8.1500 Å; angles 90.00, 90.00, 90.00 degrees
Fractional coordinates of all 4 atoms:
Hf 0.5000 0.5000 0.5000
H 0.5000 0.5000 0.0000
Th 0.0000 0.0000 0.8019
Th 0.0000 0.0000 0.1981